Arrangement P

Below is a relaxed YCo2Mo2 crystal, with properties calculated at the PBE level.

Cell lengths 7.6261, 7.6261, 2.6928 Å; angles 90.00, 90.00, 90.00 degrees
Fractional positions:
Y 0.0000 0.0000 0.0000
Y 0.5000 0.5000 0.0000
Co 0.1708 0.3292 0.5000
Co 0.3292 0.8292 0.5000
Co 0.6708 0.1708 0.5000
Co 0.8292 0.6708 0.5000
Mo 0.1210 0.6210 0.0000
Mo 0.3790 0.1210 0.0000
Mo 0.6210 0.8790 0.0000
Mo 0.8790 0.3790 0.0000

- Crystal system: tetragonal



Arrangement Q

Below is a relaxed YCo2Mo2 crystal, with properties calculated at the PBE level.

Cell lengths 5.9508, 5.9508, 5.9508 Å; angles 140.76, 140.76, 56.70 degrees
Fractional positions:
Y 0.0000 0.0000 0.0000
Co 0.3910 0.3910 0.0000
Co 0.6090 0.6090 0.0000
Mo 0.2500 0.7500 0.5000
Mo 0.7500 0.2500 0.5000

- Crystal system: tetragonal



Arrangement R

Below is a relaxed YCo2Mo2 crystal, with properties calculated at the PBE level.

Cell lengths 7.4870, 7.4870, 2.7767 Å; angles 90.00, 90.00, 90.00 degrees
Fractional positions:
Y 0.0000 0.0000 0.0000
Y 0.5000 0.5000 0.0000
Co 0.1222 0.3778 0.0000
Co 0.3778 0.8778 0.0000
Co 0.6222 0.1222 0.0000
Co 0.8778 0.6222 0.0000
Mo 0.1643 0.6643 0.5000
Mo 0.3357 0.1643 0.5000
Mo 0.6643 0.8357 0.5000
Mo 0.8357 0.3357 0.5000

- Crystal system: tetragonal



Arrangement S

Below is a relaxed YCo2Mo2 crystal, with properties calculated at the PBE level.

Cell lengths 5.5656, 5.5656, 5.5656 Å; angles 134.19, 134.19, 66.79 degrees
Fractional positions:
Y 0.0000 0.0000 0.0000
Co 0.2500 0.7500 0.5000
Co 0.7500 0.2500 0.5000
Mo 0.3601 0.3601 0.0000
Mo 0.6399 0.6399 0.0000

- Crystal system: tetragonal



Stability check: which of them is least stable? arrangement R.



Arrangement P

Below is a relaxed Y2Co2Mo crystal, with properties calculated at the PBE level.

Cell lengths 9.2742, 9.2742, 9.2742 Å; angles 159.69, 159.69, 28.88 degrees
Fractional positions:
Y 0.1158 0.1158 0.0000
Y 0.8842 0.8842 0.0000
Co 0.2500 0.7500 0.5000
Co 0.7500 0.2500 0.5000
Mo 0.5000 0.5000 0.0000

- Crystal system: tetragonal



Arrangement Q

Below is a relaxed Y2Co2Mo crystal, with properties calculated at the PBE level.

Cell lengths 7.7559, 7.7559, 3.0224 Å; angles 90.00, 90.00, 90.00 degrees
Fractional positions:
Y 0.1484 0.3516 0.0000
Y 0.3516 0.8516 0.0000
Y 0.6484 0.1484 0.0000
Y 0.8516 0.6484 0.0000
Co 0.1577 0.6577 0.5000
Co 0.3423 0.1577 0.5000
Co 0.6577 0.8423 0.5000
Co 0.8423 0.3423 0.5000
Mo 0.0000 0.0000 0.0000
Mo 0.5000 0.5000 0.0000

- Crystal system: tetragonal



Arrangement R

Below is a relaxed Y2Co2Mo crystal, with properties calculated at the PBE level.

Cell lengths 6.4425, 6.4425, 4.4862 Å; angles 90.00, 90.00, 90.00 degrees
Fractional positions:
Y 0.1790 0.3210 0.0000
Y 0.3210 0.8210 0.0000
Y 0.6790 0.1790 0.0000
Y 0.8210 0.6790 0.0000
Co 0.1340 0.6340 0.5000
Co 0.3660 0.1340 0.5000
Co 0.6340 0.8660 0.5000
Co 0.8660 0.3660 0.5000
Mo 0.0000 0.0000 0.5000
Mo 0.5000 0.5000 0.5000

- Crystal system: tetragonal



Stability check: which of them is least stable? arrangement Q.



Arrangement P

Below is a relaxed YCoMo3 crystal, with properties calculated at the PBE level.

Cell lengths 4.5812, 4.5812, 4.5812 Å; angles 90.00, 90.00, 90.00 degrees
Fractional positions:
Y 0.0000 0.0000 0.0000
Co 0.5000 0.5000 0.5000
Mo 0.0000 0.5000 0.5000
Mo 0.5000 0.0000 0.5000
Mo 0.5000 0.5000 0.0000

- Crystal system: cubic



Arrangement Q

Below is a relaxed YCoMo3 crystal, with properties calculated at the PBE level.

Cell lengths 4.7293, 4.7293, 4.7293 Å; angles 90.00, 90.00, 90.00 degrees
Fractional positions:
Y 0.0000 0.0000 0.0000
Co 0.5000 0.5000 0.5000
Mo 0.0000 0.0000 0.5000
Mo 0.0000 0.5000 0.0000
Mo 0.5000 0.0000 0.0000

- Crystal system: cubic



Stability check: which of them is least stable? arrangement Q.



Arrangement P

Below is a relaxed ZnCoMo crystal, with properties calculated at the PBE level.

Cell lengths 4.0932, 4.0932, 4.0932 Å; angles 60.00, 60.00, 60.00 degrees
Fractional positions:
Zn 0.0000 0.0000 0.0000
Co 0.5000 0.5000 0.5000
Mo 0.7500 0.7500 0.7500

- Crystal system: cubic



Arrangement Q

Below is a relaxed ZnCoMo crystal, with properties calculated at the PBE level.

Cell lengths 5.6741, 5.6741, 5.6741 Å; angles 152.13, 152.13, 39.83 degrees
Fractional positions:
Zn 0.0000 0.0000 0.0000
Co 0.6535 0.6535 0.0000
Mo 0.3099 0.3099 0.0000

- Crystal system: tetragonal



Stability check: which of them is least stable? arrangement P.



Arrangement P

Below is a relaxed ZnCoMo crystal, with properties calculated at the PBE level.

Cell lengths 4.1773, 4.1773, 2.6228 Å; angles 90.00, 90.00, 120.00 degrees
Fractional positions:
Zn 0.0000 0.0000 0.0000
Co 0.3333 0.6667 0.1566
Mo 0.6667 0.3333 0.5275

- Crystal system: trigonal



Arrangement Q

Below is a relaxed ZnCoMo crystal, with properties calculated at the PBE level.

Cell lengths 6.1045, 5.6676, 4.2020 Å; angles 74.77, 63.61, 41.62 degrees
Fractional positions:
Zn 0.1751 0.8249 0.1751
Zn 0.8249 0.1751 0.8249
Co 0.3847 0.3847 0.6153
Co 0.6153 0.6153 0.3847
Mo 0.2500 0.2500 0.2500
Mo 0.7500 0.7500 0.7500

- Crystal system: orthorhombic



Stability check: which of them is least stable? arrangement Q.



Arrangement P

Below is a relaxed ZrCo2Mo crystal, with properties calculated at the PBE level.

Cell lengths 5.1821, 5.1821, 5.1821 Å; angles 145.54, 129.96, 62.17 degrees
Fractional positions:
Zr 0.0000 0.0000 0.0000
Co 0.2581 0.7581 0.5000
Co 0.4982 0.4982 0.0000
Mo 0.7330 0.2330 0.5000

- Crystal system: orthorhombic



Arrangement Q

Below is a relaxed ZrCo2Mo crystal, with properties calculated at the PBE level.

Cell lengths 9.1962, 9.1962, 9.1962 Å; angles 17.33, 17.33, 17.33 degrees
Fractional positions:
Zr 0.0000 0.0000 0.0000
Co 0.4895 0.4895 0.4895
Co 0.7551 0.7551 0.7551
Mo 0.2331 0.2331 0.2331

- Crystal system: trigonal



Arrangement R

Below is a relaxed ZrCo2Mo crystal, with properties calculated at the PBE level.

Cell lengths 4.6935, 4.6935, 4.7019 Å; angles 100.04, 100.04, 34.94 degrees
Fractional positions:
Zr 0.0000 0.0000 0.0000
Co 0.4830 0.4830 0.4914
Co 0.7570 0.7570 0.2009
Mo 0.2230 0.2230 0.6409

- Crystal system: monoclinic



Arrangement S

Below is a relaxed ZrCo2Mo crystal, with properties calculated at the PBE level.

Cell lengths 3.9789, 3.9789, 3.6460 Å; angles 90.00, 90.00, 90.00 degrees
Fractional positions:
Zr 0.0000 0.0000 0.0000
Co 0.0000 0.5000 0.5000
Co 0.5000 0.0000 0.5000
Mo 0.5000 0.5000 0.0000

- Crystal system: tetragonal



Stability check: which of them is least stable? arrangement Q.



Arrangement P

Below is a relaxed ZrCo2Mo crystal, with properties calculated at the PBE level.

Cell lengths 2.7726, 2.7726, 7.6931 Å; angles 90.00, 90.00, 90.00 degrees
Fractional positions:
Zr 0.0000 0.0000 0.0000
Co 0.0000 0.0000 0.4498
Co 0.5000 0.5000 0.2695
Mo 0.5000 0.5000 0.6863

- Crystal system: tetragonal



Arrangement Q

Below is a relaxed ZrCo2Mo crystal, with properties calculated at the PBE level.

Cell lengths 4.3898, 4.3898, 4.3898 Å; angles 60.00, 60.00, 60.00 degrees
Fractional positions:
Zr 0.0000 0.0000 0.0000
Co 0.2500 0.2500 0.2500
Co 0.7500 0.7500 0.7500
Mo 0.5000 0.5000 0.5000

- Crystal system: cubic



Arrangement R

Below is a relaxed ZrCo2Mo crystal, with properties calculated at the PBE level.

Cell lengths 4.9356, 4.9356, 4.9356 Å; angles 135.56, 135.56, 64.66 degrees
Fractional positions:
Zr 0.0000 0.0000 0.0000
Co 0.2500 0.7500 0.5000
Co 0.5000 0.5000 0.0000
Mo 0.7500 0.2500 0.5000

- Crystal system: tetragonal



Arrangement S

Below is a relaxed ZrCo2Mo crystal, with properties calculated at the PBE level.

Cell lengths 3.0517, 4.0321, 5.0075 Å; angles 90.00, 107.09, 90.00 degrees
Fractional positions:
Zr 0.0000 0.0000 0.0000
Co 0.5691 0.5000 0.1368
Co 0.7181 0.0000 0.4706
Mo 0.2877 0.5000 0.5688

- Crystal system: monoclinic



Stability check: which of them is least stable? arrangement P.



Arrangement P

Below is a relaxed Zr2CoMo3 crystal, with properties calculated at the PBE level.

Cell lengths 5.3369, 5.3369, 5.3369 Å; angles 58.58, 58.58, 58.58 degrees
Fractional positions:
Zr 0.1267 0.1267 0.1267
Zr 0.8733 0.8733 0.8733
Co 0.5000 0.5000 0.5000
Mo 0.0000 0.5000 0.5000
Mo 0.5000 0.0000 0.5000
Mo 0.5000 0.5000 0.0000

- Crystal system: trigonal



Arrangement Q

Below is a relaxed Zr2CoMo3 crystal, with properties calculated at the PBE level.

Cell lengths 5.2191, 5.2191, 8.8107 Å; angles 90.00, 90.00, 120.00 degrees
Fractional positions:
Zr 0.3333 0.6667 0.0593
Zr 0.3333 0.6667 0.4407
Zr 0.6667 0.3333 0.5593
Zr 0.6667 0.3333 0.9407
Co 0.0000 0.0000 0.0000
Co 0.0000 0.0000 0.5000
Mo 0.1679 0.3358 0.7500
Mo 0.1679 0.8321 0.7500
Mo 0.3358 0.1679 0.2500
Mo 0.6642 0.8321 0.7500
Mo 0.8321 0.1679 0.2500
Mo 0.8321 0.6642 0.2500

- Crystal system: hexagonal



Stability check: which of them is least stable? arrangement P.



Arrangement P

Below is a relaxed Na3CoN2 crystal, with properties calculated at the PBE level.

Cell lengths 8.3826, 8.3826, 8.3826 Å; angles 123.47, 123.47, 84.08 degrees
Fractional positions:
Na 0.0740 0.3240 0.1480
Na 0.0740 0.9260 0.7500
Na 0.2662 0.5162 0.7500
Na 0.3240 0.0740 0.6480
Na 0.3240 0.6760 0.2500
Na 0.4838 0.7338 0.7500
Na 0.5162 0.2662 0.2500
Na 0.6760 0.3240 0.7500
Na 0.6760 0.9260 0.3520
Na 0.7338 0.4838 0.2500
Na 0.9260 0.0740 0.2500
Na 0.9260 0.6760 0.8520
Co 0.0408 0.2908 0.7500
Co 0.2908 0.0408 0.2500
Co 0.7092 0.9592 0.7500
Co 0.9592 0.7092 0.2500
N 0.1300 0.6781 0.4520
N 0.2739 0.3219 0.9520
N 0.3219 0.2739 0.4520
N 0.3219 0.8700 0.0480
N 0.6781 0.1300 0.9520
N 0.6781 0.7261 0.5480
N 0.7261 0.6781 0.0480
N 0.8700 0.3219 0.5480

- Crystal system: tetragonal



Arrangement Q

Below is a relaxed Na3CoN2 crystal, with properties calculated at the PBE level.

Cell lengths 5.5041, 5.5041, 6.1108 Å; angles 90.00, 90.00, 79.73 degrees
Fractional positions:
Na 0.2110 0.2110 0.0000
Na 0.2110 0.2110 0.5000
Na 0.2397 0.7603 0.7500
Na 0.7603 0.2397 0.2500
Na 0.7890 0.7890 0.0000
Na 0.7890 0.7890 0.5000
Co 0.3601 0.6399 0.2500
Co 0.6399 0.3601 0.7500
N 0.1133 0.8867 0.2500
N 0.5000 0.5000 0.0000
N 0.5000 0.5000 0.5000
N 0.8867 0.1133 0.7500

- Crystal system: orthorhombic



Stability check: which of them is least stable? arrangement P.



Arrangement P

Below is a relaxed NaCoSN2 crystal, with properties calculated at the PBE level.

Cell lengths 4.2011, 4.2011, 5.3363 Å; angles 90.00, 90.00, 90.00 degrees
Fractional positions:
Na 0.0000 0.0000 0.0000
Co 0.5000 0.5000 0.5000
S 0.0000 0.0000 0.5000
N 0.0000 0.5000 0.0000
N 0.5000 0.0000 0.0000

- Crystal system: tetragonal



Arrangement Q

Below is a relaxed NaCoSN2 crystal, with properties calculated at the PBE level.

Cell lengths 3.6445, 3.6445, 4.9866 Å; angles 90.00, 90.00, 90.00 degrees
Fractional positions:
Na 0.0000 0.0000 0.0000
Co 0.5000 0.5000 0.5000
S 0.5000 0.5000 0.0000
N 0.0000 0.5000 0.5000
N 0.5000 0.0000 0.5000

- Crystal system: tetragonal



Stability check: which of them is least stable? arrangement P.